# 1
Entry from Alexandria: crystalline Cs5K3Rb3 at its relaxed geometry (PBE).

The value obtained for the calculated volume is 1118.5 Å³/cell. For the density of states at the Fermi level, the calculation gives 10.1 states/eV/f.u. The final energy comes out at -0.8954 eV per atom.

The space group is P-62m (No. 189) and the conventional cell measures 16.1293, 16.1293 and 4.9646 Å, with angles of 90.00, 90.00 and 120.00 degrees. The distinct sites, in fractional coordinates, are Cs at (0.0000, 0.3410, 0.0000), Cs at (0.3333, 0.6667, 0.0000), K at (0.0000, 0.5987, 0.5000) and Rb at (0.0000, 0.8339, 0.0000).



# 2
Entry from Alexandria: crystalline BaBeOs2 at its relaxed geometry (PBE).

The value obtained for the calculated volume is 141.6 Å³/cell. For the density of states at the Fermi level, the calculation gives 4.9 states/eV/f.u. The final energy comes out at -5.6439 eV per atom.

The space group is C2/m (No. 12) and the conventional cell measures 5.743, 9.536 and 2.959 Å, with angles of 90.00, 119.09 and 90.00 degrees. The distinct sites, in fractional coordinates, are Ba at (0.000, 0.000, 0.000), Be at (0.000, 0.500, 0.000) and Os at (0.250, 0.250, 0.500).



# 3
Entry from Alexandria: crystalline Er4GaSb at its relaxed geometry (PBE).

The value obtained for the calculated volume is 1389.4 Å³/cell. The formation energy from raw total energies comes out at -404 meV/atom. For the density of states at the Fermi level, the calculation gives 6.3 states/eV/f.u. The final energy comes out at -4.6374 eV per atom.

The space group is Fddd (No. 70, origin choice 2) and the conventional cell measures 9.959, 9.965 and 13.999 Å, with angles of 90.00, 90.00 and 90.00 degrees. The distinct sites, in fractional coordinates, are Er at (0.118, 0.369, 0.250), Ga at (0.125, 0.125, 0.125) and Sb at (0.125, 0.125, 0.625).



# 4
Entry from Alexandria: crystalline La11Al9Ni4 at its relaxed geometry (PBE).

The value obtained for the calculated volume is 1189.5 Å³/cell. For the density of states at the Fermi level, the calculation gives 17.5 states/eV/f.u. The final energy comes out at -5.0324 eV per atom.

The space group is Cmmm (No. 65) and the conventional cell measures 14.437, 21.627 and 3.810 Å, with angles of 90.00, 90.00 and 90.00 degrees. The distinct sites, in fractional coordinates, are La at (0.000, 0.000, 0.000), La at (0.000, 0.164, 0.000), La at (0.000, 0.375, 0.000), La at (0.188, 0.500, 0.000), La at (0.240, 0.174, 0.000), Al at (0.000, 0.500, 0.500), Al at (0.098, 0.270, 0.500), Al at (0.155, 0.067, 0.500) and Ni at (0.160, 0.397, 0.500).